Entry from the Alexandria database: an optimized crystal structure of In2TeP (PBE-GGA).

Output
Uncorrected formation energy in eV/atom: 0.2559
ΔE to the lowest computed polymorph in meV/atom: 409
Symmetry: Fm-3m
Magnetization in Bohr magnetons per cell: 0.000

a = 7.3485 Å, b = 7.3485 Å, c = 7.3485 Å
α = 90.00°, β = 90.00°, γ = 90.00°
Closest atoms and distances in Å follow each position.
Sites, in units of the cell vectors:
In 0.2500 0.2500 0.2500  4 P 3.18, 4 Te 3.18
In 0.2500 0.2500 0.7500  4 Te 3.18, 4 P 3.18
In 0.2500 0.7500 0.2500  4 Te 3.18, 4 P 3.18
In 0.2500 0.7500 0.7500  4 Te 3.18, 4 P 3.18
In 0.7500 0.2500 0.2500  4 Te 3.18, 4 P 3.18
In 0.7500 0.2500 0.7500  4 Te 3.18, 4 P 3.18
In 0.7500 0.7500 0.2500  4 Te 3.18, 4 P 3.18
In 0.7500 0.7500 0.7500  4 Te 3.18, 4 P 3.18
Te 0.0000 0.0000 0.0000  8 In 3.18
Te 0.0000 0.5000 0.5000  8 In 3.18
Te 0.5000 0.0000 0.5000  8 In 3.18
Te 0.5000 0.5000 0.0000  8 In 3.18
P 0.0000 0.0000 0.5000  8 In 3.18
P 0.0000 0.5000 0.0000  8 In 3.18
P 0.5000 0.0000 0.0000  8 In 3.18
P 0.5000 0.5000 0.5000  8 In 3.18


Entry from the Alexandria database: an optimized crystal structure of ErTcGe2Ru (PBE-GGA).

Output
Symmetry: I-4m2
ΔH_f (0 K) in eV/atom: -0.496
Magnetization in Bohr magnetons per cell: 0.000

a = 4.2560 Å, b = 4.2560 Å, c = 9.9721 Å
α = 90.00°, β = 90.00°, γ = 90.00°
Closest atoms and distances in Å follow each position.
Sites, in units of the cell vectors:
Er 0.0000 0.0000 0.0000  8 Ge 3.26, 4 Tc 3.28, 4 Ru 3.28
Er 0.5000 0.5000 0.5000  8 Ge 3.26, 4 Tc 3.28, 4 Ru 3.28
Tc 0.0000 0.5000 0.2500  4 Ge 2.46
Tc 0.5000 0.0000 0.7500  4 Ge 2.46
Ge 0.0000 0.0000 0.3730  2 Tc 2.46, 2 Ru 2.46, 1 Ge 2.53
Ge 0.0000 0.0000 0.6270  2 Tc 2.46, 2 Ru 2.46, 1 Ge 2.53
Ge 0.5000 0.5000 0.1270  2 Tc 2.46, 2 Ru 2.46, 1 Ge 2.53
Ge 0.5000 0.5000 0.8730  2 Tc 2.46, 2 Ru 2.46, 1 Ge 2.53
Ru 0.0000 0.5000 0.7500  4 Ge 2.46
Ru 0.5000 0.0000 0.2500  4 Ge 2.46


Entry from the Alexandria database: an optimized crystal structure of MoH3 (PBE-GGA).

Output
ΔE to the lowest computed polymorph in meV/atom: 0
Symmetry: Imm2
Magnetization in Bohr magnetons per cell: 0.000

a = 3.1343 Å, b = 4.7424 Å, c = 3.2607 Å
α = 90.00°, β = 90.00°, γ = 90.00°
Closest atoms and distances in Å follow each position.
Sites, in units of the cell vectors:
Mo 0.0000 0.0000 0.0000  8 H 1.80-1.95
Mo 0.5000 0.5000 0.5000  8 H 1.80-1.95
H 0.0000 0.2643 0.6023  1 H 1.75, 3 Mo 1.80-1.95
H 0.0000 0.5000 0.1877  2 H 1.75, 2 Mo 1.87
H 0.0000 0.7357 0.6023  1 H 1.75, 3 Mo 1.80-1.95
H 0.5000 0.0000 0.6877  2 H 1.75, 2 Mo 1.87
H 0.5000 0.2357 0.1023  1 H 1.75, 3 Mo 1.80-1.95
H 0.5000 0.7643 0.1023  1 H 1.75, 3 Mo 1.80-1.95